P.
First-principles (PBE) data for crystalline SiAg2Te at its relaxed geometry, as listed in the Alexandria database.

The space group is I-42d (No. 122) and the conventional cell measures 6.7701, 6.7701 and 8.8395 Å, with angles of 90.00, 90.00 and 90.00 degrees. The asymmetric unit holds Si at (0.0000, 0.0000, 0.0000), Ag at (0.2138, 0.7500, 0.1250) and Te at (0.0000, 0.0000, 0.5000).

---

Q.
First-principles (PBE) data for crystalline SiAg2Te at its relaxed geometry, as listed in the Alexandria database.

The space group is I-4m2 (No. 119) and the conventional cell measures 4.2424, 4.2424 and 9.2671 Å, with angles of 90.00, 90.00 and 90.00 degrees. The asymmetric unit holds Si at (0.0000, 0.0000, 0.0000), Ag at (0.0000, 0.0000, 0.5000), Ag at (0.0000, 0.5000, 0.2500) and Te at (0.0000, 0.5000, 0.7500).

---

R.
First-principles (PBE) data for crystalline SiAg2Te at its relaxed geometry, as listed in the Alexandria database.

The space group is Pm (No. 6) and the conventional cell measures 3.0478, 3.9404 and 7.0705 Å, with angles of 90.00, 90.48 and 90.00 degrees. The asymmetric unit holds Si at (0.0000, 0.0000, 0.0000), Ag at (0.0039, 0.0000, 0.3936), Ag at (0.5010, 0.5000, 0.1760) and Te at (0.9972, 0.5000, 0.6962).

---

So which one wins? Going from most stable to least: R, Q, P.

---

P.
First-principles (PBE) data for crystalline SiAg2Te at its relaxed geometry, as listed in the Alexandria database.

The space group is R-3m (No. 166, hexagonal axes) and the conventional cell measures 3.3956, 3.3956 and 25.2275 Å, with angles of 90.00, 90.00 and 120.00 degrees. The asymmetric unit holds Si at (0.0000, 0.0000, 0.0000), Ag at (0.0000, 0.0000, 0.2616) and Te at (0.0000, 0.0000, 0.5000).

---

Q.
First-principles (PBE) data for crystalline SiAg2Te at its relaxed geometry, as listed in the Alexandria database.

The space group is C2/m (No. 12) and the conventional cell measures 8.1910, 3.6816 and 5.7772 Å, with angles of 90.00, 104.23 and 90.00 degrees. The asymmetric unit holds Si at (0.0000, 0.0000, 0.0000), Ag at (0.2391, 0.5000, 0.1965) and Te at (0.0000, 0.5000, 0.5000).

---

So which one wins? Going from most stable to least: Q, P.

---

P.
First-principles (PBE) data for crystalline SiAg2Te at its relaxed geometry, as listed in the Alexandria database.

The space group is Pmm2 (No. 25) and the conventional cell measures 3.0396, 3.9840 and 6.8390 Å, with angles of 90.00, 90.00 and 90.00 degrees. The asymmetric unit holds Si at (0.0000, 0.0000, 0.0000), Ag at (0.0000, 0.0000, 0.5991), Ag at (0.5000, 0.5000, 0.8310) and Te at (0.5000, 0.5000, 0.3226).

---

Q.
First-principles (PBE) data for crystalline SiAg2Te at its relaxed geometry, as listed in the Alexandria database.

The space group is C2/m (No. 12) and the conventional cell measures 5.8632, 7.4587 and 3.9643 Å, with angles of 90.00, 101.28 and 90.00 degrees. The asymmetric unit holds Si at (0.0000, 0.0000, 0.0000), Ag at (0.2500, 0.2500, 0.5000) and Te at (0.0000, 0.5000, 0.0000).

---

R.
First-principles (PBE) data for crystalline SiAg2Te at its relaxed geometry, as listed in the Alexandria database.

The space group is P4/mmm (No. 123) and the conventional cell measures 3.1058, 3.1058 and 8.8067 Å, with angles of 90.00, 90.00 and 90.00 degrees. The asymmetric unit holds Si at (0.0000, 0.0000, 0.0000), Ag at (0.5000, 0.5000, 0.1942) and Te at (0.0000, 0.0000, 0.5000).

---

So which one wins? Going from most stable to least: P, R, Q.

---

P.
First-principles (PBE) data for crystalline SiAgTe2 at its relaxed geometry, as listed in the Alexandria database.

The space group is P2/m (No. 10) and the conventional cell measures 3.0864, 4.0381 and 8.1276 Å, with angles of 90.00, 95.89 and 90.00 degrees. The asymmetric unit holds Si at (0.0000, 0.0000, 0.0000), Ag at (0.0000, 0.0000, 0.5000) and Te at (0.0656, 0.5000, 0.2454).

---

Q.
First-principles (PBE) data for crystalline SiAgTe2 at its relaxed geometry, as listed in the Alexandria database.

The space group is Cmm2 (No. 35) and the conventional cell measures 3.8605, 5.1623 and 9.8477 Å, with angles of 90.00, 90.00 and 90.00 degrees. The asymmetric unit holds Si at (0.0000, 0.0000, 0.0000), Ag at (0.0000, 0.5000, 0.8122), Te at (0.0000, 0.0000, 0.5748) and Te at (0.0000, 0.5000, 0.2136).

---

So which one wins? Going from most stable to least: P, Q.

---

P.
First-principles (PBE) data for crystalline SiAgTe2 at its relaxed geometry, as listed in the Alexandria database.

The space group is Cm (No. 8) and the conventional cell measures 14.0460, 3.6120 and 4.2051 Å, with angles of 90.00, 91.95 and 90.00 degrees. The asymmetric unit holds Si at (0.0000, 0.0000, 0.0000), Ag at (0.2698, 0.5000, 0.4437), Te at (0.0710, 0.5000, 0.4539) and Te at (0.3428, 0.0000, 0.9538).

---

Q.
First-principles (PBE) data for crystalline SiAgTe2 at its relaxed geometry, as listed in the Alexandria database.

The space group is P4mm (No. 99) and the conventional cell measures 3.1652, 3.1652 and 9.9302 Å, with angles of 90.00, 90.00 and 90.00 degrees. The asymmetric unit holds Si at (0.0000, 0.0000, 0.0000), Ag at (0.5000, 0.5000, 0.8364), Te at (0.0000, 0.0000, 0.6009) and Te at (0.5000, 0.5000, 0.2259).

---

So which one wins? Going from most stable to least: P, Q.

---

P.
First-principles (PBE) data for crystalline SiAgTe2 at its relaxed geometry, as listed in the Alexandria database.

The space group is P4mm (No. 99) and the conventional cell measures 3.9739, 3.9739 and 6.6974 Å, with angles of 90.00, 90.00 and 90.00 degrees. The asymmetric unit holds Si at (0.0000, 0.0000, 0.0000), Ag at (0.5000, 0.5000, 0.5066), Te at (0.0000, 0.0000, 0.6088) and Te at (0.5000, 0.5000, 0.0790).

---

Q.
First-principles (PBE) data for crystalline SiAgTe2 at its relaxed geometry, as listed in the Alexandria database.

The space group is I-42d (No. 122) and the conventional cell measures 6.2433, 6.2433 and 13.2278 Å, with angles of 90.00, 90.00 and 90.00 degrees. The asymmetric unit holds Si at (0.0000, 0.0000, 0.0000), Ag at (0.0000, 0.0000, 0.5000) and Te at (0.2275, 0.2500, 0.1250).

---

R.
First-principles (PBE) data for crystalline SiAgTe2 at its relaxed geometry, as listed in the Alexandria database.

The space group is P2_1/c (No. 14) and the conventional cell measures 8.0149, 7.0929 and 9.8901 Å, with angles of 90.00, 114.28 and 90.00 degrees. The asymmetric unit holds Si at (0.1698, 0.1509, 0.0334), Ag at (0.0811, 0.5676, 0.8106), Te at (0.1805, 0.7213, 0.5763) and Te at (0.2905, 0.2382, 0.8289).

---

S.
First-principles (PBE) data for crystalline SiAgTe2 at its relaxed geometry, as listed in the Alexandria database.

The space group is R-3m (No. 166, hexagonal axes) and the conventional cell measures 4.0506, 4.0506 and 25.0667 Å, with angles of 90.00, 90.00 and 120.00 degrees. The asymmetric unit holds Si at (0.0000, 0.0000, 0.0000), Ag at (0.0000, 0.0000, 0.5000) and Te at (0.0000, 0.0000, 0.3939).

---

So which one wins? Going from most stable to least: P, R, Q, S.